[1]
A relaxed Nd2Ho8Sc3 crystal. Source: Alexandria, functional PBE.

Unit cell a=6.551 b=8.664 c=8.523 alpha=120.55 beta=96.69 gamma=90.00
Sites, in units of the cell vectors:
Ho1 0.578 0.575 0.784
Ho2 0.422 0.791 0.216
Ho3 0.784 0.190 0.381
Ho4 0.422 0.425 0.216
Ho5 0.887 0.588 0.175
Ho6 0.216 0.810 0.619
Ho7 0.578 0.209 0.784
Ho8 0.113 0.412 0.825
Nd1 0.723 0.794 0.589
Nd2 0.277 0.206 0.411
Sc1 0.000 0.164 0.000
Sc2 0.000 0.836 0.000
Sc3 0.500 0.000 0.000

Calculated values
formation energy: 0.256 eV per atom
ΔE to the lowest computed polymorph: 0.209 eV per atom
space-group type: C2/m
uncorrected energy: -61.8 eV/f.u.
Fermi-level density of states: 18.57 states/eV/f.u.
magnetization: 0.000 μB per formula unit
crystal system: monoclinic

[2]
A relaxed SrLi2Ca crystal. Source: Alexandria, functional PBE.

Unit cell a=6.751 b=6.751 c=6.751 alpha=137.02 beta=137.02 gamma=62.40
Sites, in units of the cell vectors:
Li1 0.250 0.750 0.500
Li2 0.000 0.000 0.000
Sr1 0.500 0.500 0.000
Ca1 0.750 0.250 0.500

Calculated values
formation energy: 0.096 eV per atom
ΔE to the lowest computed polymorph: 0.074 eV per atom
space-group type: I-4m2
uncorrected energy: -7.1 eV/f.u.
Fermi-level density of states: 3.32 states/eV/f.u.
magnetization: 0.000 μB per formula unit
crystal system: tetragonal